(1)
## ScTlGeRu2 (PBE-GGA)

Data for a relaxed ScTlGeRu2 crystal.

For the volume, the calculation gives 126 Å³/cell. The space group is No. 123. The formation energy from the elements is 1.605 eV/atom.

Cell lengths 4.948, 5.147, 4.948 Å; angles 90.00, 90.00, 90.00 degrees
Element x y z (fractional)
Ge (0.500, 0.500, 0.500)
Sc (0.000, 0.500, 0.000)
Tl (0.000, 0.000, 0.000)
Ru (0.000, 0.000, 0.500)
Ru (0.500, 0.000, 0.000)

(2)
## Sc2V2GeRu5 (PBE-GGA)

Data for a relaxed Sc2V2GeRu5 crystal.

For the volume, the calculation gives 314 Å³/cell. The space group is No. 127. The formation energy from the elements is -0.294 eV/atom.

Cell lengths 3.130, 10.021, 10.021 Å; angles 90.00, 90.00, 90.00 degrees
Element x y z (fractional)
Ru (0.500, 0.697, 0.436)
Ru (0.500, 0.803, 0.936)
Ru (0.500, 0.064, 0.803)
Ru (0.500, 0.197, 0.064)
Ru (0.500, 0.564, 0.697)
Ru (0.500, 0.303, 0.564)
Ru (0.500, 0.500, 0.000)
Ru (0.500, 0.436, 0.303)
Ru (0.500, 0.936, 0.197)
Ru (0.500, 0.000, 0.500)
V (0.000, 0.368, 0.132)
V (0.000, 0.132, 0.632)
V (0.000, 0.868, 0.368)
V (0.000, 0.632, 0.868)
Sc (0.000, 0.829, 0.671)
Sc (0.000, 0.329, 0.829)
Sc (0.000, 0.171, 0.329)
Sc (0.000, 0.671, 0.171)
Ge (0.000, 0.000, 0.000)
Ge (0.000, 0.500, 0.500)

- Number 1 is which compound?
  ScTlGeRu2